No. 1
Material: LaPrLu2
Method: DFT, PBE-GGA
State: optimized geometry

Properties
energy above the most stable polymorph in this dataset = 0.0391 eV per atom
M_tot = 0.00 μB/cell
space-group type = Fm-3m (225)
calculated formation energy = 0.27 eV per formula unit
calculated total energy = -4.62 eV per atom

Cell: 5.7300 5.7300 5.7300 Å, 60.00 60.00 60.00°
Element x y z (fractional)
Lu 0.2500 0.2500 0.2500
Pr 0.0000 0.0000 0.0000
Lu 0.7500 0.7500 0.7500
La 0.5000 0.5000 0.5000

---

No. 2
Material: LaPrLu2
Method: DFT, PBE-GGA
State: optimized geometry

Properties
energy above the most stable polymorph in this dataset = 0.0000 eV per atom
M_tot = 0.01 μB/cell
space-group type = P4/mmm (123)
calculated formation energy = 0.11 eV per formula unit
calculated total energy = -4.66 eV per atom

Cell: 4.8280 5.2177 5.2177 Å, 90.00 90.00 90.00°
Element x y z (fractional)
Lu 0.0000 0.5000 0.0000
La 0.5000 0.5000 0.5000
Pr 0.5000 0.0000 0.0000
Lu 0.0000 0.0000 0.5000

---

No. 3
Material: LaPrLu
Method: DFT, PBE-GGA
State: optimized geometry

Properties
energy above the most stable polymorph in this dataset = 0.0245 eV per atom
M_tot = 0.01 μB/cell
space-group type = P-6m2 (187)
calculated formation energy = 0.19 eV per formula unit
calculated total energy = -4.68 eV per atom

Cell: 3.5273 5.7752 5.7752 Å, 120.00 90.00 90.00°
Element x y z (fractional)
Lu 0.1660 0.0000 0.0000
Pr 0.1673 0.6667 0.3333
La 0.6667 0.3333 0.6667

---

No. 4
Material: La2PrLu
Method: DFT, PBE-GGA
State: optimized geometry

Properties
energy above the most stable polymorph in this dataset = 0.0154 eV per atom
M_tot = 0.00 μB/cell
space-group type = P4/mmm (123)
calculated formation energy = 0.10 eV per formula unit
calculated total energy = -4.76 eV per atom

Cell: 3.7141 3.7141 10.1112 Å, 90.00 90.00 90.00°
Element x y z (fractional)
La 0.0000 0.0000 0.2411
Pr 0.5000 0.5000 0.5000
La 0.0000 0.0000 0.7589
Lu 0.5000 0.5000 0.0000

---

No. 5
Material: LaPrLu2
Method: DFT, PBE-GGA
State: optimized geometry

Properties
energy above the most stable polymorph in this dataset = 0.0335 eV per atom
M_tot = 0.00 μB/cell
space-group type = P4/mmm (123)
calculated formation energy = 0.25 eV per formula unit
calculated total energy = -4.63 eV per atom

Cell: 4.1168 4.1168 7.8273 Å, 90.00 90.00 90.00°
Element x y z (fractional)
Pr 0.5000 0.5000 0.0000
Lu 0.0000 0.0000 0.2469
La 0.5000 0.5000 0.5000
Lu 0.0000 0.0000 0.7531

---

No. 6
Material: La2PrLu
Method: DFT, PBE-GGA
State: optimized geometry

Properties
energy above the most stable polymorph in this dataset = 0.0000 eV per atom
M_tot = 0.00 μB/cell
space-group type = P4/mmm (123)
calculated formation energy = 0.04 eV per formula unit
calculated total energy = -4.78 eV per atom

Cell: 5.1484 5.1781 5.1781 Å, 90.00 90.00 90.00°
Element x y z (fractional)
La 0.0000 0.0000 0.5000
La 0.0000 0.5000 0.0000
Lu 0.5000 0.5000 0.5000
Pr 0.5000 0.0000 0.0000

---

No. 7
Material: La2PrLu
Method: DFT, PBE-GGA
State: optimized geometry

Properties
energy above the most stable polymorph in this dataset = 0.0109 eV per atom
M_tot = 0.00 μB/cell
space-group type = R-3m (166)
calculated formation energy = 0.08 eV per formula unit
calculated total energy = -4.77 eV per atom

Cell: 3.6789 3.6789 12.0329 Å, 81.21 81.21 60.00°
Element x y z (fractional)
Pr 0.0000 0.0000 0.0000
La 0.2472 0.2472 0.2585
La 0.7528 0.7528 0.7415
Lu 0.5000 0.5000 0.5000

---

No. 8
Material: LaPrLu
Method: DFT, PBE-GGA
State: optimized geometry

Properties
energy above the most stable polymorph in this dataset = 0.0000 eV per atom
M_tot = 0.00 μB/cell
space-group type = I4mm (107)
calculated formation energy = 0.12 eV per formula unit
calculated total energy = -4.70 eV per atom

Cell: 3.6725 3.6725 8.0587 Å, 103.17 103.17 90.00°
Element x y z (fractional)
Pr 0.0038 0.0038 0.0077
Lu 0.6658 0.6658 0.3315
La 0.3304 0.3304 0.6608

---

No. 9
Material: LaPrLuTh
Method: DFT, PBE-GGA
State: optimized geometry

Properties
M_tot = 0.03 μB/cell
space-group type = F-43m (216)
calculated formation energy = 0.84 eV per formula unit
calculated total energy = -5.20 eV per atom

Cell: 5.7656 5.7656 5.7656 Å, 60.00 60.00 60.00°
Element x y z (fractional)
Th 0.0000 0.0000 0.0000
Pr 0.7500 0.7500 0.7500
Lu 0.5000 0.5000 0.5000
La 0.2500 0.2500 0.2500

---

No. 10
Material: LaPrLuTl
Method: DFT, PBE-GGA
State: optimized geometry

Properties
M_tot = 0.64 μB/cell
space-group type = F-43m (216)
calculated formation energy = -0.37 eV per formula unit
calculated total energy = -4.24 eV per atom

Cell: 5.6190 5.6190 5.6190 Å, 60.00 60.00 60.00°
Element x y z (fractional)
Pr 0.2500 0.2500 0.2500
Tl 0.0000 0.0000 0.0000
Lu 0.5000 0.5000 0.5000
La 0.7500 0.7500 0.7500

---

No. 11
Material: LaPrTmLu
Method: DFT, PBE-GGA
State: optimized geometry

Properties
M_tot = 0.00 μB/cell
space-group type = F-43m (216)
calculated formation energy = 0.29 eV per formula unit
calculated total energy = -4.60 eV per atom

Cell: 5.7403 5.7403 5.7403 Å, 60.00 60.00 60.00°
Element x y z (fractional)
La 0.2500 0.2500 0.2500
Pr 0.7500 0.7500 0.7500
Lu 0.5000 0.5000 0.5000
Tm 0.0000 0.0000 0.0000

---

No. 12
Material: LaPrYLu
Method: DFT, PBE-GGA
State: optimized geometry

Properties
M_tot = 0.00 μB/cell
space-group type = F-43m (216)
calculated formation energy = 0.31 eV per formula unit
calculated total energy = -5.09 eV per atom

Cell: 5.7729 5.7729 5.7729 Å, 60.00 60.00 60.00°
Element x y z (fractional)
Lu 0.2500 0.2500 0.2500
Y 0.7500 0.7500 0.7500
Pr 0.5000 0.5000 0.5000
La 0.0000 0.0000 0.0000